Entry 1:
{"formula": "KCu3", "functional": "PBE-GGA", "state": "optimized geometry", "mass_density_g_cm3": 5.6, "magmom_total_mub_per_fu": 0.00, "delta_e_f_ev_per_atom": 0.7024, "polymorph_energy_ev_per_atom": 0.522, "crystal_system": "trigonal", "spacegroup": "R-3m", "lattice_angstrom": [[4.691, 2.708, 0.897], [-4.691, 2.708, 0.897], [0.000, -5.416, 0.897]], "species": ["K", "Cu", "Cu", "Cu"], "fractional_positions": [[0.000, 0.000, 0.000], [0.000, 0.500, 0.500], [0.500, 0.000, 0.500], [0.500, 0.500, 0.000]]}

=====

Entry 2:
{"formula": "RbTlHBr", "functional": "PBE-GGA", "state": "optimized geometry", "mass_density_g_cm3": 5.2, "magmom_total_mub_per_fu": 0.00, "crystal_system": "cubic", "spacegroup": "F-43m", "dft_energy_ev_per_atom": -2.5477, "lattice_angstrom": [[0.000, 3.902, 3.902], [3.902, 0.000, 3.902], [3.902, 3.902, 0.000]], "species": ["Rb", "Tl", "H", "Br"], "fractional_positions": [[0.000, 0.000, 0.000], [0.500, 0.500, 0.500], [0.250, 0.250, 0.250], [0.750, 0.750, 0.750]]}

=====

Entry 3:
{"formula": "Cd2MoOs", "functional": "PBE-GGA", "state": "optimized geometry", "mass_density_g_cm3": 12.1, "magmom_total_mub_per_fu": 0.00, "delta_e_f_ev_per_atom": 0.6648, "polymorph_energy_ev_per_atom": 0.475, "crystal_system": "tetragonal", "spacegroup": "I4/mmm", "lattice_angstrom": [[-1.943, 1.943, 4.629], [1.943, -1.943, 4.629], [1.943, 1.943, -4.629]], "species": ["Cd", "Cd", "Mo", "Os"], "fractional_positions": [[0.250, 0.750, 0.500], [0.750, 0.250, 0.500], [0.000, 0.000, 0.000], [0.500, 0.500, 0.000]]}

=====

Entry 4:
{"formula": "PaMn3B", "functional": "PBE-GGA", "state": "optimized geometry", "mass_density_g_cm3": 10.7, "magmom_total_mub_per_fu": 0.84, "delta_e_f_ev_per_atom": -0.1528, "crystal_system": "cubic", "spacegroup": "Pm-3m", "lattice_angstrom": [[3.984, 0.000, 0.000], [0.000, 3.984, 0.000], [0.000, 0.000, 3.984]], "species": ["Pa", "Mn", "Mn", "Mn", "B"], "fractional_positions": [[0.000, 0.000, 0.000], [0.000, 0.500, 0.500], [0.500, 0.000, 0.500], [0.500, 0.500, 0.000], [0.500, 0.500, 0.500]]}

=====

Entry 5:
{"formula": "K2PrBiO4", "functional": "PBE-GGA", "state": "optimized geometry", "mass_density_g_cm3": 5.6, "e_form_raw_mev_per_atom": -1960.0, "magmom_total_mub_per_fu": 0.00, "crystal_system": "monoclinic", "spacegroup": "P2/m", "lattice_angstrom": [[6.303, 0.000, 0.000], [0.000, 3.652, 0.000], [-2.096, 0.000, 6.323]], "species": ["K", "K", "Pr", "Bi", "O", "O", "O", "O"], "fractional_positions": [[0.000, 0.000, 0.000], [0.500, 0.500, 0.000], [0.000, 0.500, 0.500], [0.500, 0.000, 0.500], [0.230, 0.000, 0.695], [0.264, 0.500, 0.300], [0.736, 0.500, 0.700], [0.770, 0.000, 0.305]]}

=====

Entry 6:
{"formula": "Nb2AgPtO8", "functional": "PBE-GGA", "state": "optimized geometry", "mass_density_g_cm3": 7.0, "e_form_raw_mev_per_atom": -1511.4, "magmom_total_mub_per_fu": 0.00, "crystal_system": "orthorhombic", "spacegroup": "Cmmm", "lattice_angstrom": [[3.350, -3.377, 0.000], [3.350, 3.377, 0.000], [0.000, 0.000, 6.513]], "species": ["Nb", "Nb", "Ag", "Pt", "O", "O", "O", "O", "O", "O", "O", "O"], "fractional_positions": [[0.000, 0.000, 0.247], [0.000, 0.000, 0.753], [0.500, 0.500, 0.000], [0.500, 0.500, 0.500], [0.184, 0.816, 0.000], [0.199, 0.801, 0.500], [0.289, 0.289, 0.283], [0.289, 0.289, 0.717], [0.711, 0.711, 0.283], [0.711, 0.711, 0.717], [0.801, 0.199, 0.500], [0.816, 0.184, 0.000]]}

=====

Calculated volume / A^3/atom: 17.1 29.7 17.5 12.6 18.2 12.3